First-principles (PBE with a Hubbard U) data for a geometry-optimized Li4Cr3Sn5O16 structure, as listed in Alexandria via LeMat-Bulk.

Values from the calculation:
Magnetization (μB per atom): 0.329
Final energy (eV per cell): -360.403

Structure (CIF):
```
data_Li4Cr3Sn5O16
_chemical_formula_sum 'Li8 Cr6 Sn10 O32'
_space_group_name_H-M_alt 'C 1 m 1'
_space_group_IT_number 8
_space_group_name_Hall 'C -2y'
_cell_length_a 10.685
_cell_length_b 6.204
_cell_length_c 9.942
_cell_angle_alpha 90.00
_cell_angle_beta 90.40
_cell_angle_gamma 90.00
loop_
_atom_site_label
_atom_site_fract_x
_atom_site_fract_y
_atom_site_fract_z
Li1 0.000 0.000 0.000
Li2 0.002 0.000 0.491
Li3 0.158 0.500 0.906
Li4 0.322 0.000 0.392
Cr1 0.076 0.255 0.215
Cr2 0.160 0.000 0.717
Sn1 0.151 0.500 0.487
Sn2 0.321 0.000 0.999
Sn3 0.322 0.500 0.216
Sn4 0.406 0.247 0.717
O1 0.008 0.500 0.333
O2 0.072 0.239 0.601
O3 0.153 0.000 0.105
O4 0.154 0.500 0.109
O5 0.229 0.274 0.340
O6 0.249 0.222 0.845
O7 0.319 0.000 0.606
O8 0.330 0.500 0.596
O9 0.413 0.259 0.098
O10 0.474 0.000 0.847
O11 0.496 0.500 0.308
O12 0.496 0.500 0.817
```